Record 1
# SrZr2Te, relaxed, DFT GGA-PBEsol
# raw total energy = -5.918 eV per atom
# total magnetization = 0.00 μB per formula unit
data_SrZr2Te
_chemical_formula_sum 'Sr1 Zr2 Te1'
_cell_length_a 4.431
_cell_length_b 4.431
_cell_length_c 5.058
_cell_angle_alpha 90.00
_cell_angle_beta 90.00
_cell_angle_gamma 90.00
_symmetry_space_group_name_H-M 'P 4/m m m'
_symmetry_Int_Tables_number 123
_symmetry_space_group_name_Hall '-P 4 2'
loop_
_atom_site_label
_atom_site_type_symbol
_atom_site_fract_x
_atom_site_fract_y
_atom_site_fract_z
Sr1 Sr 0.000 0.000 0.000
Zr1 Zr 0.000 0.500 0.500
Te1 Te 0.500 0.500 0.000

Record 2
# TaTi2Ga, relaxed, DFT GGA-PBEsol
# formation energy = -0.22 eV/atom
# raw total energy = -8.356 eV per atom
# total magnetization = 0.00 μB per formula unit
data_TaTi2Ga
_chemical_formula_sum 'Ta4 Ti8 Ga4'
_cell_length_a 6.339
_cell_length_b 6.339
_cell_length_c 6.339
_cell_angle_alpha 90.00
_cell_angle_beta 90.00
_cell_angle_gamma 90.00
_symmetry_space_group_name_H-M 'F m -3 m'
_symmetry_Int_Tables_number 225
_symmetry_space_group_name_Hall '-F 4 2 3'
loop_
_atom_site_label
_atom_site_type_symbol
_atom_site_fract_x
_atom_site_fract_y
_atom_site_fract_z
Ta1 Ta 0.000 0.000 0.000
Ti1 Ti 0.250 0.250 0.250
Ga1 Ga 0.000 0.000 0.500

Record 3
# ReTc2Pt, relaxed, DFT GGA-PBEsol
# formation energy = -0.08 eV/atom
# raw total energy = -10.787 eV per atom
# total magnetization = 0.00 μB per formula unit
data_ReTc2Pt
_chemical_formula_sum 'Re1 Tc2 Pt1'
_cell_length_a 2.715
_cell_length_b 2.715
_cell_length_c 7.780
_cell_angle_alpha 90.00
_cell_angle_beta 90.00
_cell_angle_gamma 90.00
_symmetry_space_group_name_H-M 'P 4/m m m'
_symmetry_Int_Tables_number 123
_symmetry_space_group_name_Hall '-P 4 2'
loop_
_atom_site_label
_atom_site_type_symbol
_atom_site_fract_x
_atom_site_fract_y
_atom_site_fract_z
Re1 Re 0.000 0.000 0.000
Tc1 Tc 0.500 0.500 0.243
Pt1 Pt 0.000 0.000 0.500

Record 4
# Li2TaAs, relaxed, DFT GGA-PBEsol
# formation energy = -0.09 eV/atom
# raw total energy = -5.489 eV per atom
# total magnetization = 0.00 μB per formula unit
data_Li2TaAs
_chemical_formula_sum 'Li2 Ta1 As1'
_cell_length_a 3.721
_cell_length_b 3.721
_cell_length_c 4.274
_cell_angle_alpha 90.00
_cell_angle_beta 90.00
_cell_angle_gamma 90.00
_symmetry_space_group_name_H-M 'P 4/m m m'
_symmetry_Int_Tables_number 123
_symmetry_space_group_name_Hall '-P 4 2'
loop_
_atom_site_label
_atom_site_type_symbol
_atom_site_fract_x
_atom_site_fract_y
_atom_site_fract_z
Li1 Li 0.000 0.500 0.000
Ta1 Ta 0.000 0.000 0.500
As1 As 0.500 0.500 0.500

These records have theoretical density values of 6.65, 9.03, 16.71, 7.57 g/cm³, in the order they appear.